# 1
Below is a geometry-optimized NpZn2AuO8 structure, with properties calculated at the PBE-GGA level.

The structure in CIF format:
```
data_NpZn2AuO8
_chemical_formula_sum 'Np1 Zn2 Au1 O8'
_space_group_name_H-M_alt 'P 1'
_space_group_IT_number 1
_cell_length_a 4.841
_cell_length_b 6.332
_cell_length_c 4.892
_cell_angle_alpha 90.00
_cell_angle_beta 94.37
_cell_angle_gamma 90.00
loop_
_space_group_symop_operation_xyz
'x,y,z'
loop_
_atom_site_label
_atom_site_type_symbol
_atom_site_fract_x
_atom_site_fract_y
_atom_site_fract_z
_atom_site_occupancy
Np1 Np 0.000 0.000 0.000 1
Zn1 Zn 0.500 0.262 0.500 1
Zn2 Zn 0.500 0.738 0.500 1
Au1 Au 0.000 0.500 0.000 1
O1 O 0.197 0.252 0.821 1
O2 O 0.197 0.748 0.821 1
O3 O 0.292 0.000 0.304 1
O4 O 0.292 0.500 0.319 1
O5 O 0.708 0.000 0.696 1
O6 O 0.708 0.500 0.681 1
O7 O 0.803 0.252 0.179 1
O8 O 0.803 0.748 0.179 1
```

## Properties
- Crystal system: monoclinic
- Space-group type: P2/m (10)
- Uncorrected formation energy: -1.22 eV/atom

# 2
Below is a geometry-optimized NpZnAuO6 structure, with properties calculated at the PBE-GGA level.

The structure in CIF format:
```
data_NpZnAuO6
_chemical_formula_sum 'Np2 Zn2 Au2 O12'
_space_group_name_H-M_alt 'P 1'
_space_group_IT_number 1
_cell_length_a 5.372
_cell_length_b 5.372
_cell_length_c 9.215
_cell_angle_alpha 90.00
_cell_angle_beta 90.00
_cell_angle_gamma 120.00
loop_
_space_group_symop_operation_xyz
'x,y,z'
loop_
_atom_site_label
_atom_site_type_symbol
_atom_site_fract_x
_atom_site_fract_y
_atom_site_fract_z
_atom_site_occupancy
Np1 Np 0.333 0.667 0.250 1
Np2 Np 0.667 0.333 0.750 1
Zn1 Zn 0.333 0.667 0.750 1
Zn2 Zn 0.667 0.333 0.250 1
Au1 Au 0.000 0.000 0.000 1
Au2 Au 0.000 0.000 0.500 1
O1 O 0.011 0.350 0.131 1
O2 O 0.011 0.661 0.369 1
O3 O 0.339 0.350 0.369 1
O4 O 0.339 0.989 0.131 1
O5 O 0.350 0.011 0.631 1
O6 O 0.350 0.339 0.869 1
O7 O 0.650 0.661 0.131 1
O8 O 0.650 0.989 0.369 1
O9 O 0.661 0.011 0.869 1
O10 O 0.661 0.650 0.631 1
O11 O 0.989 0.339 0.631 1
O12 O 0.989 0.650 0.869 1
```

## Properties
- Crystal system: trigonal
- Space-group type: P-31c (163)
- Uncorrected formation energy: -1.36 eV/atom

# 3
Below is a geometry-optimized ZrNpAuO6 structure, with properties calculated at the PBE-GGA level.

The structure in CIF format:
```
data_ZrNpAuO6
_chemical_formula_sum 'Zr2 Np2 Au2 O12'
_space_group_name_H-M_alt 'P 1'
_space_group_IT_number 1
_cell_length_a 5.660
_cell_length_b 5.660
_cell_length_c 9.635
_cell_angle_alpha 90.00
_cell_angle_beta 90.00
_cell_angle_gamma 120.00
loop_
_space_group_symop_operation_xyz
'x,y,z'
loop_
_atom_site_label
_atom_site_type_symbol
_atom_site_fract_x
_atom_site_fract_y
_atom_site_fract_z
_atom_site_occupancy
Zr1 Zr 0.333 0.667 0.250 1
Zr2 Zr 0.667 0.333 0.750 1
Np1 Np 0.333 0.667 0.750 1
Np2 Np 0.667 0.333 0.250 1
Au1 Au 0.000 0.000 0.000 1
Au2 Au 0.000 0.000 0.500 1
O1 O 0.011 0.376 0.639 1
O2 O 0.011 0.635 0.861 1
O3 O 0.365 0.376 0.861 1
O4 O 0.365 0.989 0.639 1
O5 O 0.376 0.011 0.139 1
O6 O 0.376 0.365 0.361 1
O7 O 0.624 0.635 0.639 1
O8 O 0.624 0.989 0.861 1
O9 O 0.635 0.011 0.361 1
O10 O 0.635 0.624 0.139 1
O11 O 0.989 0.365 0.139 1
O12 O 0.989 0.624 0.361 1
```

## Properties
- Crystal system: trigonal
- Space-group type: P-31c (163)
- Uncorrected formation energy: -2.15 eV/atom

# 4
Below is a geometry-optimized Np2OsAu structure, with properties calculated at the PBE-GGA level.

The structure in CIF format:
```
data_Np2OsAu
_chemical_formula_sum 'Np2 Os1 Au1'
_space_group_name_H-M_alt 'P 1'
_space_group_IT_number 1
_cell_length_a 3.184
_cell_length_b 3.184
_cell_length_c 8.248
_cell_angle_alpha 90.00
_cell_angle_beta 90.00
_cell_angle_gamma 90.00
loop_
_space_group_symop_operation_xyz
'x,y,z'
loop_
_atom_site_label
_atom_site_type_symbol
_atom_site_fract_x
_atom_site_fract_y
_atom_site_fract_z
_atom_site_occupancy
Np1 Np 0.000 0.000 0.223 1
Np2 Np 0.000 0.000 0.777 1
Os1 Os 0.500 0.500 0.000 1
Au1 Au 0.500 0.500 0.500 1
```

## Properties
- Crystal system: tetragonal
- Space-group type: P4/mmm (123)
- E above lowest polymorph: 0.0000 eV per atom
- Formation enthalpy at 0 K: 0.0074 eV/atom

# 5
Below is a geometry-optimized Np2OsAu structure, with properties calculated at the PBE-GGA level.

The structure in CIF format:
```
data_Np2OsAu
_chemical_formula_sum 'Np2 Os1 Au1'
_space_group_name_H-M_alt 'P 1'
_space_group_IT_number 1
_cell_length_a 11.237
_cell_length_b 11.237
_cell_length_c 11.237
_cell_angle_alpha 14.54
_cell_angle_beta 14.54
_cell_angle_gamma 14.54
loop_
_space_group_symop_operation_xyz
'x,y,z'
loop_
_atom_site_label
_atom_site_type_symbol
_atom_site_fract_x
_atom_site_fract_y
_atom_site_fract_z
_atom_site_occupancy
Np1 Np 0.093 0.093 0.093 1
Np2 Np 0.907 0.907 0.907 1
Os1 Os 0.500 0.500 0.500 1
Au1 Au 0.000 0.000 0.000 1
```

## Properties
- Crystal system: trigonal
- Space-group type: R-3m (166)
- E above lowest polymorph: 0.3039 eV per atom
- Formation enthalpy at 0 K: 0.3113 eV/atom

# 6
Below is a geometry-optimized NpPAu structure, with properties calculated at the PBE-GGA level.

The structure in CIF format:
```
data_NpPAu
_chemical_formula_sum 'Np2 P2 Au2'
_space_group_name_H-M_alt 'P 1'
_space_group_IT_number 1
_cell_length_a 10.091
_cell_length_b 10.091
_cell_length_c 10.091
_cell_angle_alpha 158.06
_cell_angle_beta 158.06
_cell_angle_gamma 31.23
loop_
_space_group_symop_operation_xyz
'x,y,z'
loop_
_atom_site_label
_atom_site_type_symbol
_atom_site_fract_x
_atom_site_fract_y
_atom_site_fract_z
_atom_site_occupancy
Np1 Np 0.168 0.168 0.000 1
Np2 Np 0.832 0.832 0.000 1
P1 P 0.307 0.307 0.000 1
P2 P 0.693 0.693 0.000 1
Au1 Au 0.434 0.434 0.000 1
Au2 Au 0.566 0.566 0.000 1
```

## Properties
- Crystal system: tetragonal
- Space-group type: I4/mmm (139)
- Formation enthalpy at 0 K: -0.3332 eV/atom

# 7
Below is a geometry-optimized NpPaAu2 structure, with properties calculated at the PBE-GGA level.

The structure in CIF format:
```
data_NpPaAu2
_chemical_formula_sum 'Np1 Pa1 Au2'
_space_group_name_H-M_alt 'P 1'
_space_group_IT_number 1
_cell_length_a 5.106
_cell_length_b 5.106
_cell_length_c 5.106
_cell_angle_alpha 60.00
_cell_angle_beta 60.00
_cell_angle_gamma 60.00
loop_
_space_group_symop_operation_xyz
'x,y,z'
loop_
_atom_site_label
_atom_site_type_symbol
_atom_site_fract_x
_atom_site_fract_y
_atom_site_fract_z
_atom_site_occupancy
Np1 Np 0.000 0.000 0.000 1
Pa1 Pa 0.500 0.500 0.500 1
Au1 Au 0.250 0.250 0.250 1
Au2 Au 0.750 0.750 0.750 1
```

## Properties
- Crystal system: cubic
- Space-group type: Fm-3m (225)
- E above lowest polymorph: 0.0560 eV per atom
- Formation enthalpy at 0 K: -0.0626 eV/atom

# 8
Below is a geometry-optimized NpPa2Au6 structure, with properties calculated at the PBE-GGA level.

The structure in CIF format:
```
data_NpPa2Au6
_chemical_formula_sum 'Np1 Pa2 Au6'
_space_group_name_H-M_alt 'P 1'
_space_group_IT_number 1
_cell_length_a 8.387
_cell_length_b 8.387
_cell_length_c 3.116
_cell_angle_alpha 90.00
_cell_angle_beta 90.00
_cell_angle_gamma 120.00
loop_
_space_group_symop_operation_xyz
'x,y,z'
loop_
_atom_site_label
_atom_site_type_symbol
_atom_site_fract_x
_atom_site_fract_y
_atom_site_fract_z
_atom_site_occupancy
Np1 Np 0.000 0.000 0.000 1
Pa1 Pa 0.333 0.667 0.000 1
Pa2 Pa 0.667 0.333 0.000 1
Au1 Au 0.000 0.334 0.500 1
Au2 Au 0.000 0.666 0.500 1
Au3 Au 0.334 0.000 0.500 1
Au4 Au 0.334 0.334 0.500 1
Au5 Au 0.666 0.000 0.500 1
Au6 Au 0.666 0.666 0.500 1
```

## Properties
- Crystal system: hexagonal
- Space-group type: P6/mmm (191)
- Formation enthalpy at 0 K: -0.4093 eV/atom

# 9
Below is a geometry-optimized NpPa2Au structure, with properties calculated at the PBE-GGA level.

The structure in CIF format:
```
data_NpPa2Au
_chemical_formula_sum 'Np1 Pa2 Au1'
_space_group_name_H-M_alt 'P 1'
_space_group_IT_number 1
_cell_length_a 3.587
_cell_length_b 3.587
_cell_length_c 6.965
_cell_angle_alpha 90.00
_cell_angle_beta 90.00
_cell_angle_gamma 90.00
loop_
_space_group_symop_operation_xyz
'x,y,z'
loop_
_atom_site_label
_atom_site_type_symbol
_atom_site_fract_x
_atom_site_fract_y
_atom_site_fract_z
_atom_site_occupancy
Np1 Np 0.000 0.000 0.000 1
Pa1 Pa 0.500 0.500 0.230 1
Pa2 Pa 0.500 0.500 0.770 1
Au1 Au 0.000 0.000 0.500 1
```

## Properties
- Crystal system: tetragonal
- Space-group type: P4/mmm (123)
- E above lowest polymorph: 0.1639 eV per atom
- Formation enthalpy at 0 K: 0.0570 eV/atom

# 10
Below is a geometry-optimized Np2PaAu6 structure, with properties calculated at the PBE-GGA level.

The structure in CIF format:
```
data_Np2PaAu6
_chemical_formula_sum 'Np2 Pa1 Au6'
_space_group_name_H-M_alt 'P 1'
_space_group_IT_number 1
_cell_length_a 5.753
_cell_length_b 5.753
_cell_length_c 5.753
_cell_angle_alpha 94.50
_cell_angle_beta 94.50
_cell_angle_gamma 94.50
loop_
_space_group_symop_operation_xyz
'x,y,z'
loop_
_atom_site_label
_atom_site_type_symbol
_atom_site_fract_x
_atom_site_fract_y
_atom_site_fract_z
_atom_site_occupancy
Np1 Np 0.163 0.163 0.163 1
Np2 Np 0.837 0.837 0.837 1
Pa1 Pa 0.500 0.500 0.500 1
Au1 Au 0.000 0.334 0.666 1
Au2 Au 0.000 0.666 0.334 1
Au3 Au 0.334 0.000 0.666 1
Au4 Au 0.334 0.666 0.000 1
Au5 Au 0.666 0.000 0.334 1
Au6 Au 0.666 0.334 0.000 1
```

## Properties
- Crystal system: trigonal
- Space-group type: R-3m (166)
- Formation enthalpy at 0 K: -0.3198 eV/atom

# 11
Below is a geometry-optimized NpPaAu structure, with properties calculated at the PBE-GGA level.

The structure in CIF format:
```
data_NpPaAu
_chemical_formula_sum 'Np2 Pa2 Au2'
_space_group_name_H-M_alt 'P 1'
_space_group_IT_number 1
_cell_length_a 4.303
_cell_length_b 4.268
_cell_length_c 7.706
_cell_angle_alpha 90.00
_cell_angle_beta 98.24
_cell_angle_gamma 90.00
loop_
_space_group_symop_operation_xyz
'x,y,z'
loop_
_atom_site_label
_atom_site_type_symbol
_atom_site_fract_x
_atom_site_fract_y
_atom_site_fract_z
_atom_site_occupancy
Np1 Np 0.131 0.250 0.473 1
Np2 Np 0.869 0.750 0.527 1
Pa1 Pa 0.212 0.750 0.826 1
Pa2 Pa 0.788 0.250 0.174 1
Au1 Au 0.311 0.750 0.213 1
Au2 Au 0.689 0.250 0.787 1
```

## Properties
- Crystal system: monoclinic
- Space-group type: P2_1/m (11)
- E above lowest polymorph: 0.0000 eV per atom
- Formation enthalpy at 0 K: -0.0951 eV/atom

# 12
Below is a geometry-optimized NpPaAu2 structure, with properties calculated at the PBE-GGA level.

The structure in CIF format:
```
data_NpPaAu2
_chemical_formula_sum 'Np1 Pa1 Au2'
_space_group_name_H-M_alt 'P 1'
_space_group_IT_number 1
_cell_length_a 4.393
_cell_length_b 4.393
_cell_length_c 4.553
_cell_angle_alpha 90.00
_cell_angle_beta 90.00
_cell_angle_gamma 90.00
loop_
_space_group_symop_operation_xyz
'x,y,z'
loop_
_atom_site_label
_atom_site_type_symbol
_atom_site_fract_x
_atom_site_fract_y
_atom_site_fract_z
_atom_site_occupancy
Np1 Np 0.000 0.000 0.000 1
Pa1 Pa 0.500 0.500 0.000 1
Au1 Au 0.000 0.500 0.500 1
Au2 Au 0.500 0.000 0.500 1
```

## Properties
- Crystal system: tetragonal
- Space-group type: P4/mmm (123)
- E above lowest polymorph: 0.0000 eV per atom
- Formation enthalpy at 0 K: -0.1186 eV/atom

no.,N(E_F) (states/eV/f.u.),theoretical density (g/cm³),volume (Å³/cell)
1,6.1,7.69,149.5
2,6.2,8.59,230.3
3,1.9,7.72,267.4
4,9.9,17.10,83.6
5,5.8,18.37,77.8
6,9.1,10.77,143.4
7,11.5,15.20,94.2
8,9.8,16.46,189.8
9,9.4,16.60,89.6
10,19.4,16.62,188.6
11,7.1,15.77,140.1
12,11.4,16.29,87.9